(1)
DFT (GGA-PBE) results for crystalline LiCu2Bi at its relaxed geometry.

The calculation puts the calculated total energy at -3.337 eV/atom. The symmetry is F-43m, No. 216.

Lattice parameters (Å, degrees): 4.502 4.502 4.502 60.00 60.00 60.00
Sites, in units of the cell vectors:
Bi 0.000 0.000 0.000
Cu 0.750 0.750 0.750
Cu 0.500 0.500 0.500
Li 0.250 0.250 0.250

(2)
DFT (GGA-PBE) results for crystalline LiCu2Bi at its relaxed geometry.

The calculation puts the calculated total energy at -3.291 eV/atom. The symmetry is Pm-3m, No. 221.

Lattice parameters (Å, degrees): 6.413 6.413 6.413 90.00 90.00 90.00
Sites, in units of the cell vectors:
Bi 0.500 0.500 0.500
Bi 0.500 0.500 0.000
Bi 0.000 0.500 0.500
Bi 0.500 0.000 0.500
Cu 0.787 0.787 0.787
Cu 0.213 0.213 0.787
Cu 0.787 0.787 0.213
Cu 0.787 0.213 0.213
Cu 0.213 0.787 0.213
Cu 0.213 0.787 0.787
Cu 0.787 0.213 0.787
Cu 0.213 0.213 0.213
Li 0.000 0.500 0.000
Li 0.000 0.000 0.500
Li 0.000 0.000 0.000
Li 0.500 0.000 0.000

(3)
DFT (GGA-PBE) results for crystalline LiLuCuBi at its relaxed geometry.

The energy above the most stable polymorph in this dataset is 156.9 meV/atom. The symmetry is F-43m, No. 216.

Lattice parameters (Å, degrees): 4.946 4.946 4.946 60.00 60.00 60.00
Sites, in units of the cell vectors:
Bi 0.000 0.000 0.000
Li 0.500 0.500 0.500
Lu 0.250 0.250 0.250
Cu 0.750 0.750 0.750

(4)
DFT (GGA-PBE) results for crystalline LiLuCuBi at its relaxed geometry.

The energy above the most stable polymorph in this dataset is 0.0 meV/atom. The symmetry is F-43m, No. 216.

Lattice parameters (Å, degrees): 4.847 4.847 4.847 60.00 60.00 60.00
Sites, in units of the cell vectors:
Bi 0.000 0.000 0.000
Cu 0.750 0.750 0.750
Li 0.250 0.250 0.250
Lu 0.500 0.500 0.500

(5)
DFT (GGA-PBE) results for crystalline LiCuBiMo at its relaxed geometry.

The energy above the most stable polymorph in this dataset is 0.0 meV/atom. The symmetry is F-43m, No. 216.

Lattice parameters (Å, degrees): 4.581 4.581 4.581 60.00 60.00 60.00
Sites, in units of the cell vectors:
Li 0.500 0.500 0.500
Bi 0.000 0.000 0.000
Mo 0.250 0.250 0.250
Cu 0.750 0.750 0.750

(6)
DFT (GGA-PBE) results for crystalline LiCuBiMo at its relaxed geometry.

The energy above the most stable polymorph in this dataset is 2.3 meV/atom. The symmetry is F-43m, No. 216.

Lattice parameters (Å, degrees): 4.629 4.629 4.629 60.00 60.00 60.00
Sites, in units of the cell vectors:
Bi 0.000 0.000 0.000
Cu 0.750 0.750 0.750
Mo 0.500 0.500 0.500
Li 0.250 0.250 0.250